{"formula": "TlTc2Hg2", "functional": "PBE-GGA", "state": "optimized geometry", "crystal_system": "tetragonal", "e_tot_ev_per_atom": -4.180, "dos_at_fermi_per_ev_fu": 3.9, "rho_g_cm3": 11.6, "m_tot_mub_per_atom": 0.0000, "formation_enthalpy_0k_ev_per_atom": 0.56, "vol_a3_per_atom": 22.98, "lattice": [[-1.746, 1.746, 9.423], [1.746, -1.746, 9.423], [1.746, 1.746, -9.423]], "species": ["Tl", "Tc", "Tc", "Hg", "Hg"], "frac_coords": [[0.000, 0.000, 0.000], [0.250, 0.750, 0.500], [0.750, 0.250, 0.500], [0.379, 0.379, 0.000], [0.621, 0.621, 0.000]]}